Rb2ScVO5: relaxed, PBE with a Hubbard U.

Results
VASP energy in eV per atom: -6.64

The structure in CIF format:
```
data_Rb2ScVO5
_chemical_formula_sum 'Rb4 Sc2 V2 O10'
_cell_length_a 8.459
_cell_length_b 8.459
_cell_length_c 11.970
_cell_angle_alpha 90.00
_cell_angle_beta 90.00
_cell_angle_gamma 156.97
_symmetry_space_group_name_H-M 'P 1'
_symmetry_Int_Tables_number 1
loop_
_symmetry_equiv_pos_as_xyz
'x,y,z'
loop_
_atom_site_label
_atom_site_fract_x
_atom_site_fract_y
_atom_site_fract_z
Rb1 0.115 0.885 0.500
Rb2 0.141 0.859 0.163
Rb3 0.859 0.141 0.663
Rb4 0.885 0.115 0.000
Sc1 0.214 0.786 0.880
Sc2 0.786 0.214 0.380
V1 0.434 0.566 0.280
V2 0.566 0.434 0.780
O1 0.052 0.948 0.844
O2 0.305 0.695 0.470
O3 0.324 0.676 0.844
O4 0.336 0.664 0.237
O5 0.489 0.511 0.164
O6 0.511 0.489 0.664
O7 0.664 0.336 0.737
O8 0.676 0.324 0.344
O9 0.695 0.305 0.970
O10 0.948 0.052 0.344
```

RbScV2O6: relaxed, PBE with a Hubbard U.

Results
VASP energy in eV per atom: -7.49

The structure in CIF format:
```
data_RbScV2O6
_chemical_formula_sum 'Rb1 Sc1 V2 O6'
_cell_length_a 7.520
_cell_length_b 7.520
_cell_length_c 7.520
_cell_angle_alpha 40.87
_cell_angle_beta 40.87
_cell_angle_gamma 40.87
_symmetry_space_group_name_H-M 'P 1'
_symmetry_Int_Tables_number 1
loop_
_symmetry_equiv_pos_as_xyz
'x,y,z'
loop_
_atom_site_label
_atom_site_fract_x
_atom_site_fract_y
_atom_site_fract_z
Rb1 0.000 0.000 0.000
Sc1 0.500 0.500 0.500
V1 0.172 0.172 0.172
V2 0.828 0.828 0.828
O1 0.098 0.446 0.810
O2 0.190 0.902 0.554
O3 0.446 0.810 0.098
O4 0.554 0.190 0.902
O5 0.810 0.098 0.446
O6 0.902 0.554 0.190
```

Rb3ScV2O8: relaxed, PBE with a Hubbard U.

Results
VASP energy in eV per atom: -6.84

The structure in CIF format:
```
data_Rb3ScV2O8
_chemical_formula_sum 'Rb3 Sc1 V2 O8'
_cell_length_a 5.924
_cell_length_b 5.924
_cell_length_c 7.945
_cell_angle_alpha 90.00
_cell_angle_beta 90.00
_cell_angle_gamma 120.00
_symmetry_space_group_name_H-M 'P 1'
_symmetry_Int_Tables_number 1
loop_
_symmetry_equiv_pos_as_xyz
'x,y,z'
loop_
_atom_site_label
_atom_site_fract_x
_atom_site_fract_y
_atom_site_fract_z
Rb1 0.000 0.000 0.000
Rb2 0.333 0.667 0.710
Rb3 0.667 0.333 0.290
Sc1 0.000 0.000 0.500
V1 0.333 0.667 0.272
V2 0.667 0.333 0.728
O1 0.170 0.341 0.345
O2 0.170 0.830 0.345
O3 0.333 0.667 0.060
O4 0.341 0.170 0.655
O5 0.659 0.830 0.345
O6 0.667 0.333 0.940
O7 0.830 0.170 0.655
O8 0.830 0.659 0.655
```